Record 1
AcFeSb3: optimized geometry, GGA-PBE.

Summary:
D(E_F) (states/eV/atom): 0.99

Structure (POSCAR):
```
AcFeSb3
1.0
5.1740 0.0000 0.0000
0.0000 5.1740 0.0000
0.0000 0.0000 5.1740
Ac Fe Sb
1 1 3
Cartesian
0.0000 0.0000 0.0000
2.5870 2.5870 2.5870
0.0000 2.5870 2.5870
2.5870 0.0000 2.5870
2.5870 2.5870 0.0000
```


Record 2
Ac2FeSb: optimized geometry, GGA-PBE.

Summary:
D(E_F) (states/eV/atom): 1.66

Structure (POSCAR):
```
Ac2FeSb
1.0
5.4528 0.0000 0.0000
0.0000 5.4528 0.0000
0.0000 0.0000 4.1711
Ac Fe Sb
2 1 1
Cartesian
0.0000 2.7264 0.0000
2.7264 0.0000 0.0000
0.0000 0.0000 2.0855
2.7264 2.7264 2.0855
```


Record 3
Ac3FeSb: optimized geometry, GGA-PBE.

Summary:
D(E_F) (states/eV/atom): 1.16

Structure (POSCAR):
```
Ac3FeSb
1.0
5.4738 0.0000 0.0000
0.0000 5.4738 0.0000
0.0000 0.0000 5.4738
Ac Fe Sb
3 1 1
Cartesian
0.0000 0.0000 2.7369
0.0000 2.7369 0.0000
2.7369 0.0000 0.0000
0.0000 0.0000 0.0000
2.7369 2.7369 2.7369
```


Respective total energy values: -5.187 -5.385 -5.287 eV per atom.